Computed, not measured: CdFe4Te after structural relaxation at the PBE-GGA level of DFT.

The structure in POSCAR format:
```
CdFe4Te
1.0
-1.257 -4.766 -1.182
1.604 -3.837 2.897
-3.296 -2.543 2.891
Fe Cd Te
4 1 1
direct
0.627 0.627 0.627 Fe
0.627 0.120 0.627 Fe
0.120 0.627 0.627 Fe
0.627 0.627 0.120 Fe
0.000 0.000 0.000 Cd
0.250 0.250 0.250 Te
```

Values from the calculation:
The energy relative to the elements, uncorrected comes out at 185 kJ/mol of formula units. For the volume, the calculation gives 92.06 Å³/cell.

Computed, not measured: Mg2AsRu after structural relaxation at the PBE-GGA level of DFT.

The structure in POSCAR format:
```
Mg2AsRu
1.0
5.080 -0.026 -0.040
3.600 3.584 -0.040
1.533 0.628 3.538
Mg As Ru
2 1 1
direct
0.500 0.500 0.500 Mg
0.000 0.000 0.000 Mg
0.250 0.250 0.250 As
0.750 0.750 0.750 Ru
```

Values from the calculation:
As for the formation energy: -0.08 eV per atom. For the volume, the calculation gives 65.01 Å³/cell.

Computed, not measured: InW3N after structural relaxation at the PBE-GGA level of DFT.

The structure in POSCAR format:
```
InW3N
1.0
-1.125 3.319 3.394
-3.475 -2.953 1.735
3.234 -2.018 3.045
N W In
1 3 1
direct
0.500 0.500 0.500 N
0.500 0.000 0.000 W
0.000 0.500 0.000 W
0.000 0.000 0.500 W
0.000 0.000 0.000 In
```

Values from the calculation:
The energy relative to the elements, uncorrected comes out at 2036 kJ/mol of formula units. The energy above the most stable polymorph in this dataset is 3.969 eV/atom. For the volume, the calculation gives 116.14 Å³/cell.

Computed, not measured: Y2Tm5Th after structural relaxation at the PBE-GGA level of DFT.

The structure in POSCAR format:
```
Y2Tm5Th
1.0
4.985 0.000 0.000
0.000 7.043 0.000
0.000 0.000 14.119
Th Tm Y
2 10 4
direct
0.000 0.500 0.000 Th
0.000 0.000 0.500 Th
0.000 0.002 0.749 Tm
0.500 0.745 0.123 Tm
0.000 0.498 0.249 Tm
0.000 0.000 0.000 Tm
0.000 0.502 0.751 Tm
0.500 0.755 0.623 Tm
0.000 0.998 0.251 Tm
0.000 0.500 0.500 Tm
0.500 0.255 0.877 Tm
0.500 0.245 0.377 Tm
0.500 0.747 0.876 Y
0.500 0.253 0.124 Y
0.500 0.753 0.376 Y
0.500 0.247 0.624 Y
```

Values from the calculation:
As for the formation energy: 0.03 eV per atom. The energy above the most stable polymorph in this dataset is 0.000 eV/atom. For the volume, the calculation gives 495.67 Å³/cell.

Computed, not measured: FePbI2 after structural relaxation at the PBE-GGA level of DFT.

The structure in POSCAR format:
```
FePbI2
1.0
-1.450 3.230 1.418
-3.648 0.129 1.105
0.852 -1.569 9.573
I Fe Pb
2 1 1
direct
0.883 0.883 0.352 I
0.117 0.117 0.648 I
0.500 0.500 0.500 Fe
0.000 0.000 0.000 Pb
```

Values from the calculation:
The energy relative to the elements, uncorrected comes out at 90 kJ/mol of formula units. The energy above the most stable polymorph in this dataset is 0.000 eV/atom. For the volume, the calculation gives 119.49 Å³/cell.

Computed, not measured: Tb2NdGa9 after structural relaxation at the PBE-GGA level of DFT.

The structure in POSCAR format:
```
Tb2NdGa9
1.0
4.319 0.000 0.000
0.000 4.319 0.000
0.000 0.000 12.957
Ga Tb Nd
9 2 1
direct
0.500 0.000 0.500 Ga
0.500 0.500 0.000 Ga
0.000 0.500 0.829 Ga
0.500 0.000 0.829 Ga
0.000 0.500 0.500 Ga
0.000 0.500 0.171 Ga
0.500 0.500 0.666 Ga
0.500 0.500 0.334 Ga
0.500 0.000 0.171 Ga
0.000 0.000 0.336 Tb
0.000 0.000 0.664 Tb
0.000 0.000 0.000 Nd
```

Values from the calculation:
As for the formation energy: -0.53 eV per atom. For the volume, the calculation gives 241.66 Å³/cell.

Computed, not measured: AcPm4Dy6 after structural relaxation at the PBE-GGA level of DFT.

The structure in POSCAR format:
```
AcPm4Dy6
1.0
0.382 9.787 -0.350
3.312 -7.813 -4.903
-5.901 -7.372 -2.623
Dy Pm Ac
6 4 1
direct
0.358 0.554 0.554 Dy
0.500 0.000 0.500 Dy
0.000 0.446 0.804 Dy
0.642 0.196 0.196 Dy
0.500 0.500 0.000 Dy
0.000 0.804 0.446 Dy
0.617 0.987 0.987 Pm
0.000 0.013 0.631 Pm
0.000 0.631 0.013 Pm
0.383 0.369 0.369 Pm
0.000 0.000 0.000 Ac
```

Values from the calculation:
As for the formation energy: 0.34 eV per atom. For the volume, the calculation gives 386.89 Å³/cell.

Computed, not measured: CsMgNb after structural relaxation at the PBE-GGA level of DFT.

The structure in POSCAR format:
```
CsMgNb
1.0
11.380 -0.076 -0.094
0.952 4.455 0.001
-10.108 -0.196 5.226
Cs Nb Mg
2 2 2
direct
0.053 0.244 0.316 Cs
0.383 0.928 0.986 Cs
0.653 0.635 0.716 Nb
0.697 0.134 0.672 Nb
0.788 0.538 0.581 Mg
0.209 0.552 0.160 Mg
```

Values from the calculation:
As for the formation energy: 0.77 eV per atom. The energy above the most stable polymorph in this dataset is 0.280 eV/atom. For the volume, the calculation gives 261.09 Å³/cell.